Entry 1:
A relaxed structure of CaMnZnHg2, computed with GGA-PBE.

The calculation puts the magnetization at 3.92 μB per formula unit. For the energy relative to the elements, the calculation gives 0.22 eV/atom. The value obtained for the total energy is -11.93 eV for the cell shown. As for the symmetry: No. 123.

a b c (Å): 5.094 5.094 4.867
angles (deg): 90.00 90.00 90.00
Element x y z (fractional)
Ca  0.000  0.000  0.000
Mn  0.500  0.500  0.000
Zn  0.500  0.500  0.500
Hg  0.000  0.500  0.500
Hg  0.500  0.000  0.500

***

Entry 2:
A relaxed structure of BeBiPt3, computed with GGA-PBE.

The value obtained for the relative energy among the computed polymorphs is 725.1 meV per atom. The calculation puts the magnetization at 0.00 μB per formula unit. For the energy relative to the elements, the calculation gives 0.29 eV/atom. The value obtained for the total energy is -48.53 eV for the cell shown. As for the symmetry: No. 119.

a b c (Å): 10.622 10.622 10.622
angles (deg): 153.37 153.37 38.02
Element x y z (fractional)
Be  0.119  0.119  0.000
Be  0.881  0.881  0.000
Bi  0.500  0.500  0.000
Bi  0.750  0.250  0.500
Pt  0.112  0.612  0.500
Pt  0.123  0.375  0.748
Pt  0.388  0.888  0.500
Pt  0.625  0.374  0.748
Pt  0.625  0.877  0.252
Pt  0.626  0.375  0.252

***

Among the records above, which one has the lowest energy relative to the elements? CaMnZnHg2